1.
Here is CaAcMgTl after structural relaxation from Alexandria via LeMat-Bulk. Energies are from PBE.

As for the formation energy from the elements: -0.274 eV/atom.

Unit cell a=8.0568 b=8.0568 c=8.0568 alpha=90.00 beta=90.00 gamma=90.00
Last column: nearest neighbours and their distance in Å.
Positions (direct):
1 Ca 0.0000 0.0000 0.0000  4 Mg 3.49, 4 Tl 3.49
2 Ca 0.0000 0.5000 0.5000  4 Mg 3.49, 4 Tl 3.49
3 Ca 0.5000 0.0000 0.5000  4 Mg 3.49, 4 Tl 3.49
4 Ca 0.5000 0.5000 0.0000  4 Mg 3.49, 4 Tl 3.49
5 Ac 0.0000 0.0000 0.5000  4 Tl 3.49, 4 Mg 3.49
6 Ac 0.0000 0.5000 0.0000  4 Tl 3.49, 4 Mg 3.49
7 Ac 0.5000 0.0000 0.0000  4 Tl 3.49, 4 Mg 3.49
8 Ac 0.5000 0.5000 0.5000  4 Tl 3.49, 4 Mg 3.49
9 Mg 0.2500 0.2500 0.2500  4 Ac 3.49, 4 Ca 3.49
10 Mg 0.2500 0.7500 0.7500  4 Ac 3.49, 4 Ca 3.49
11 Mg 0.7500 0.2500 0.7500  4 Ac 3.49, 4 Ca 3.49
12 Mg 0.7500 0.7500 0.2500  4 Ac 3.49, 4 Ca 3.49
13 Tl 0.2500 0.2500 0.7500  4 Ac 3.49, 4 Ca 3.49
14 Tl 0.2500 0.7500 0.2500  4 Ac 3.49, 4 Ca 3.49
15 Tl 0.7500 0.2500 0.2500  4 Ac 3.49, 4 Ca 3.49
16 Tl 0.7500 0.7500 0.7500  4 Ac 3.49, 4 Ca 3.49

2.
Here is Sr2TaTe after structural relaxation from Alexandria via LeMat-Bulk. Energies are from PBE.

The energy relative to the elements, uncorrected is 0.543 eV per atom. The energy above the most stable polymorph in this dataset comes out at 0.491 eV per atom.

Unit cell a=7.8719 b=7.8719 c=7.8719 alpha=90.00 beta=90.00 gamma=90.00
Last column: nearest neighbours and their distance in Å.
Positions (direct):
1 Sr 0.0000 0.0000 0.0000  4 Te 3.41, 4 Sr 3.41
2 Sr 0.0000 0.5000 0.5000  4 Te 3.41, 4 Sr 3.41
3 Sr 0.2500 0.2500 0.2500  4 Ta 3.41, 4 Sr 3.41
4 Sr 0.2500 0.7500 0.7500  4 Ta 3.41, 4 Sr 3.41
5 Sr 0.5000 0.0000 0.5000  4 Te 3.41, 4 Sr 3.41
6 Sr 0.5000 0.5000 0.0000  4 Te 3.41, 4 Sr 3.41
7 Sr 0.7500 0.2500 0.7500  4 Ta 3.41, 4 Sr 3.41
8 Sr 0.7500 0.7500 0.2500  4 Ta 3.41, 4 Sr 3.41
9 Ta 0.0000 0.0000 0.5000  4 Sr 3.41, 4 Te 3.41
10 Ta 0.0000 0.5000 0.0000  4 Sr 3.41, 4 Te 3.41
11 Ta 0.5000 0.0000 0.0000  4 Sr 3.41, 4 Te 3.41
12 Ta 0.5000 0.5000 0.5000  4 Te 3.41, 4 Sr 3.41
13 Te 0.2500 0.2500 0.7500  4 Ta 3.41, 4 Sr 3.41
14 Te 0.2500 0.7500 0.2500  4 Ta 3.41, 4 Sr 3.41
15 Te 0.7500 0.2500 0.2500  4 Ta 3.41, 4 Sr 3.41
16 Te 0.7500 0.7500 0.7500  4 Sr 3.41, 4 Ta 3.41

3.
Here is La3Sm6Mg after structural relaxation from Alexandria via LeMat-Bulk. Energies are from PBE.

As for the formation energy from the elements: 0.168 eV/atom. The energy above the most stable polymorph in this dataset comes out at 0.050 eV per atom.

Unit cell a=10.5532 b=10.5532 c=10.5532 alpha=52.56 beta=52.56 gamma=52.56
Last column: nearest neighbours and their distance in Å.
Positions (direct):
1 La 0.0797 0.6595 0.7652  1 Mg 3.45, 4 La 3.45-3.54, 5 Sm 3.54-3.63
2 La 0.2348 0.9203 0.3405  1 Mg 3.45, 4 La 3.45-3.54, 5 Sm 3.54-3.63
3 La 0.3405 0.2348 0.9203  1 Mg 3.45, 4 La 3.45-3.54, 5 Sm 3.54-3.63
4 La 0.6595 0.7652 0.0797  1 Mg 3.45, 4 La 3.45-3.54, 5 Sm 3.54-3.63
5 La 0.7652 0.0797 0.6595  1 Mg 3.45, 4 La 3.45-3.54, 5 Sm 3.54-3.63
6 La 0.9203 0.3405 0.2348  1 Mg 3.45, 4 La 3.45-3.54, 5 Sm 3.54-3.63
7 Sm 0.0878 0.1962 0.5349  3 Sm 3.27-3.56, 3 La 3.54-3.63
8 Sm 0.1962 0.5349 0.0878  3 Sm 3.27-3.56, 3 La 3.54-3.63
9 Sm 0.1976 0.3702 0.6078  5 Sm 3.27-3.56, 1 Mg 3.52, 2 La 3.56-3.59
10 Sm 0.3702 0.6078 0.1976  5 Sm 3.27-3.56, 1 Mg 3.52, 2 La 3.56-3.59
11 Sm 0.3922 0.8024 0.6298  5 Sm 3.27-3.56, 1 Mg 3.52, 2 La 3.56-3.59
12 Sm 0.4651 0.9122 0.8038  3 Sm 3.27-3.56, 3 La 3.54-3.63
13 Sm 0.5349 0.0878 0.1962  3 Sm 3.27-3.56, 3 La 3.54-3.63
14 Sm 0.6078 0.1976 0.3702  5 Sm 3.27-3.56, 1 Mg 3.52, 2 La 3.56-3.59
15 Sm 0.6298 0.3922 0.8024  5 Sm 3.27-3.56, 1 Mg 3.52, 2 La 3.56-3.59
16 Sm 0.8024 0.6298 0.3922  5 Sm 3.27-3.56, 1 Mg 3.52, 2 La 3.56-3.59
17 Sm 0.8038 0.4651 0.9122  3 Sm 3.27-3.56, 3 La 3.54-3.63
18 Sm 0.9122 0.8038 0.4651  3 Sm 3.27-3.56, 3 La 3.54-3.63
19 Mg 0.0000 0.0000 0.0000  12 Sm 3.70-4.06
20 Mg 0.5000 0.5000 0.5000  6 La 3.45, 6 Sm 3.52

4.
Here is MgCuF5 after structural relaxation from Alexandria via LeMat-Bulk. Energies are from PBE.

The energy relative to the elements, uncorrected is -2.217 eV per atom. The energy above the most stable polymorph in this dataset comes out at 0.003 eV per atom.

Unit cell a=5.0574 b=9.6120 c=7.3393 alpha=90.00 beta=109.52 gamma=90.00
Last column: nearest neighbours and their distance in Å.
Positions (direct):
1 Mg 0.0241 0.0127 0.2365  5 F 1.94-2.15
2 Mg 0.0241 0.4873 0.7365  5 F 1.94-2.15
3 Mg 0.9759 0.5127 0.2635  5 F 1.94-2.15
4 Mg 0.9759 0.9873 0.7635  5 F 1.94-2.15
5 Cu 0.3961 0.2426 0.6189  6 F 1.86-1.98
6 Cu 0.3961 0.2574 0.1189  6 F 1.86-1.98
7 Cu 0.6039 0.7426 0.8811  6 F 1.86-1.98
8 Cu 0.6039 0.7574 0.3811  6 F 1.86-1.98
9 F 0.0865 0.1163 0.5861  1 Cu 1.93, 1 Mg 2.01
10 F 0.0865 0.3837 0.0861  1 Cu 1.93, 1 Mg 2.01
11 F 0.1443 0.1059 0.0090  1 Cu 1.93, 2 Mg 2.06-2.15
12 F 0.1443 0.3941 0.5090  1 Cu 1.93, 2 Mg 2.06-2.15
13 F 0.2895 0.6420 0.3437  1 Cu 1.88, 1 Mg 1.94
14 F 0.2895 0.8580 0.8437  1 Cu 1.88, 1 Mg 1.94
15 F 0.3461 0.1788 0.3552  2 Cu 1.96-1.98
16 F 0.3461 0.3212 0.8552  2 Cu 1.96-1.98
17 F 0.3726 0.5924 0.7735  1 Cu 1.86, 1 Mg 1.97
18 F 0.3726 0.9076 0.2735  1 Cu 1.86, 1 Mg 1.97
19 F 0.6274 0.0924 0.7265  1 Cu 1.86, 1 Mg 1.97
20 F 0.6274 0.4076 0.2265  1 Cu 1.86, 1 Mg 1.97
21 F 0.6539 0.6788 0.1448  2 Cu 1.96-1.98
22 F 0.6539 0.8212 0.6448  2 Cu 1.96-1.98
23 F 0.7105 0.1420 0.1563  1 Cu 1.88, 1 Mg 1.94
24 F 0.7105 0.3580 0.6563  1 Cu 1.88, 1 Mg 1.94
25 F 0.8557 0.6059 0.4910  1 Cu 1.93, 2 Mg 2.06-2.15
26 F 0.8557 0.8941 0.9910  1 Cu 1.93, 2 Mg 2.06-2.15
27 F 0.9135 0.6163 0.9139  1 Cu 1.93, 1 Mg 2.01
28 F 0.9135 0.8837 0.4139  1 Cu 1.93, 1 Mg 2.01

5.
Here is CrOsIN2 after structural relaxation from Alexandria via LeMat-Bulk. Energies are from PBE.

The energy relative to the elements, uncorrected is 1.513 eV per atom. The energy above the most stable polymorph in this dataset comes out at 0.593 eV per atom.

Unit cell a=3.7157 b=3.7157 c=5.7971 alpha=90.00 beta=90.00 gamma=90.00
Last column: nearest neighbours and their distance in Å.
Positions (direct):
1 Cr 0.0000 0.0000 0.0000  4 N 1.86
2 Os 0.5000 0.5000 0.5000  4 I 2.63
3 I 0.0000 0.0000 0.5000  4 Os 2.63, 2 Cr 2.90
4 N 0.0000 0.5000 0.0000  2 Cr 1.86
5 N 0.5000 0.0000 0.0000  2 Cr 1.86

6.
Here is AgAsW2 after structural relaxation from Alexandria via LeMat-Bulk. Energies are from PBE.

As for the formation energy from the elements: 0.545 eV/atom.

Unit cell a=3.1279 b=4.6123 c=9.1644 alpha=90.00 beta=90.00 gamma=90.00
Last column: nearest neighbours and their distance in Å.
Positions (direct):
1 Ag 0.0000 0.0000 0.0000  4 As 2.79, 8 W 2.99-3.08
2 Ag 0.5000 0.5000 0.5000  4 As 2.79, 8 W 2.99-3.08
3 As 0.0000 0.0000 0.5000  4 W 2.57, 4 Ag 2.79
4 As 0.5000 0.5000 0.0000  4 W 2.57, 4 Ag 2.79
5 W 0.0000 0.5000 0.2222  2 As 2.57, 4 W 2.83
6 W 0.0000 0.5000 0.7778  2 As 2.57, 4 W 2.83
7 W 0.5000 0.0000 0.2778  2 As 2.57, 4 W 2.83
8 W 0.5000 0.0000 0.7222  2 As 2.57, 4 W 2.83

7.
Here is La2GePd after structural relaxation from Alexandria via LeMat-Bulk. Energies are from PBE.

As for the formation energy from the elements: -0.226 eV/atom.

Unit cell a=6.2840 b=6.2840 c=15.1100 alpha=90.00 beta=90.00 gamma=90.00
Last column: nearest neighbours and their distance in Å.
Positions (direct):
1 La 0.2451 0.2500 0.1250  2 Pd 2.90, 2 Ge 2.93
2 La 0.2500 0.7451 0.3750  2 Pd 2.90, 2 Ge 2.93
3 La 0.2500 0.7549 0.8750  2 Pd 2.90, 2 Ge 2.93
4 La 0.2549 0.2500 0.6250  2 Pd 2.90, 2 Ge 2.93
5 La 0.7451 0.7500 0.6250  2 Pd 2.90, 2 Ge 2.93
6 La 0.7500 0.2451 0.8750  2 Pd 2.90, 2 Ge 2.93
7 La 0.7500 0.2549 0.3750  2 Pd 2.90, 2 Ge 2.93
8 La 0.7549 0.7500 0.1250  2 Pd 2.90, 2 Ge 2.93
9 Ge 0.0000 0.0000 0.5000  4 La 2.93
10 Ge 0.0000 0.5000 0.7500  4 La 2.93
11 Ge 0.5000 0.0000 0.2500  4 La 2.93
12 Ge 0.5000 0.5000 0.0000  4 La 2.93
13 Pd 0.0000 0.0000 0.0000  4 La 2.90
14 Pd 0.0000 0.5000 0.2500  4 La 2.90
15 Pd 0.5000 0.0000 0.7500  4 La 2.90
16 Pd 0.5000 0.5000 0.5000  4 La 2.90

8.
Here is Nb2AlCr after structural relaxation from Alexandria via LeMat-Bulk. Energies are from PBE.

As for the formation energy from the elements: 0.156 eV/atom.

Unit cell a=3.0225 b=3.0225 c=25.3126 alpha=90.00 beta=90.00 gamma=120.00
Last column: nearest neighbours and their distance in Å.
Positions (direct):
1 Nb 0.0000 0.0000 0.2419  3 Cr 2.58
2 Nb 0.0000 0.0000 0.7581  3 Cr 2.58
3 Nb 0.3333 0.6667 0.4248  3 Cr 2.58
4 Nb 0.3333 0.6667 0.9085  3 Cr 2.58
5 Nb 0.6667 0.3333 0.0915  3 Cr 2.58
6 Nb 0.6667 0.3333 0.5752  3 Cr 2.58
7 Al 0.0000 0.0000 0.0000  6 Nb 2.90, 6 Al 3.02
8 Al 0.3333 0.6667 0.6667  6 Nb 2.90, 6 Al 3.02
9 Al 0.6667 0.3333 0.3333  6 Nb 2.90, 6 Al 3.02
10 Cr 0.0000 0.0000 0.5000  6 Nb 2.58
11 Cr 0.3333 0.6667 0.1667  6 Nb 2.58
12 Cr 0.6667 0.3333 0.8333  6 Nb 2.58

9.
Here is CrNiSb after structural relaxation from Alexandria via LeMat-Bulk. Energies are from PBE.

The energy relative to the elements, uncorrected is 0.218 eV per atom.

Unit cell a=3.4965 b=3.4965 c=7.9763 alpha=90.00 beta=90.00 gamma=90.00
Last column: nearest neighbours and their distance in Å.
Positions (direct):
1 Cr 0.0000 0.0000 0.0000  5 Sb 2.63-2.82, 5 Ni 2.74-2.77
2 Cr 0.5000 0.5000 0.5000  5 Sb 2.63-2.82, 5 Ni 2.74-2.77
3 Ni 0.0000 0.0000 0.3433  5 Sb 2.61-2.83, 5 Cr 2.74-2.77
4 Ni 0.5000 0.5000 0.8433  5 Sb 2.61-2.83, 5 Cr 2.74-2.77
5 Sb 0.0000 0.0000 0.6706  5 Ni 2.61-2.83, 5 Cr 2.63-2.82
6 Sb 0.5000 0.5000 0.1706  5 Ni 2.61-2.83, 5 Cr 2.63-2.82

10.
Here is HoSi2Ni2Ir after structural relaxation from Alexandria via LeMat-Bulk. Energies are from PBE.

The energy relative to the elements, uncorrected is -0.116 eV per atom.

Unit cell a=4.5175 b=4.5175 c=5.3129 alpha=90.00 beta=90.00 gamma=90.00
Last column: nearest neighbours and their distance in Å.
Positions (direct):
1 Ho 0.0000 0.0000 0.0000  2 Ir 2.66
2 Si 0.0000 0.5000 0.5000  2 Ir 2.26
3 Si 0.5000 0.0000 0.5000  2 Ir 2.26
4 Ni 0.5000 0.5000 0.2536  4 Si 2.61, 2 Ni 2.62-2.69
5 Ni 0.5000 0.5000 0.7464  4 Si 2.61, 2 Ni 2.62-2.69
6 Ir 0.0000 0.0000 0.5000  4 Si 2.26

11.
Here is SrScHgBi after structural relaxation from Alexandria via LeMat-Bulk. Energies are from PBE.

As for the formation energy from the elements: -0.409 eV/atom.

Unit cell a=7.7129 b=7.7129 c=7.7129 alpha=90.00 beta=90.00 gamma=90.00
Last column: nearest neighbours and their distance in Å.
Positions (direct):
1 Sr 0.0000 0.0000 0.0000  4 Hg 3.34, 4 Bi 3.34
2 Sr 0.0000 0.5000 0.5000  4 Hg 3.34, 4 Bi 3.34
3 Sr 0.5000 0.0000 0.5000  4 Hg 3.34, 4 Bi 3.34
4 Sr 0.5000 0.5000 0.0000  4 Hg 3.34, 4 Bi 3.34
5 Sc 0.0000 0.0000 0.5000  4 Bi 3.34, 4 Hg 3.34
6 Sc 0.0000 0.5000 0.0000  4 Bi 3.34, 4 Hg 3.34
7 Sc 0.5000 0.0000 0.0000  4 Bi 3.34, 4 Hg 3.34
8 Sc 0.5000 0.5000 0.5000  4 Bi 3.34, 4 Hg 3.34
9 Hg 0.2500 0.2500 0.7500  4 Sc 3.34, 4 Sr 3.34
10 Hg 0.2500 0.7500 0.2500  4 Sc 3.34, 4 Sr 3.34
11 Hg 0.7500 0.2500 0.2500  4 Sc 3.34, 4 Sr 3.34
12 Hg 0.7500 0.7500 0.7500  4 Sc 3.34, 4 Sr 3.34
13 Bi 0.2500 0.2500 0.2500  4 Sr 3.34, 4 Sc 3.34
14 Bi 0.2500 0.7500 0.7500  4 Sr 3.34, 4 Sc 3.34
15 Bi 0.7500 0.2500 0.7500  4 Sr 3.34, 4 Sc 3.34
16 Bi 0.7500 0.7500 0.2500  4 Sr 3.34, 4 Sc 3.34

Number 1: raw total energy -2.79 eV/atom, total moment 0.00 μB/cell. Number 2: raw total energy -4.05 eV/atom, total moment 15.48 μB/cell. Number 3: raw total energy -4.30 eV/atom, total moment 0.00 μB/cell. Number 4: raw total energy -4.37 eV/atom, total moment 7.33 μB/cell. Number 5: raw total energy -6.30 eV/atom, total moment 1.71 μB/cell. Number 6: raw total energy -7.81 eV/atom, total moment 0.00 μB/cell. Number 7: raw total energy -5.14 eV/atom, total moment 0.00 μB/cell. Number 8: raw total energy -8.22 eV/atom, total moment 0.00 μB/cell. Number 9: raw total energy -6.29 eV/atom, total moment 7.67 μB/cell. Number 10: raw total energy -6.09 eV/atom, total moment 0.00 μB/cell. Number 11: raw total energy -3.46 eV/atom, total moment 2.86 μB/cell.